[1]
Here is crystalline CoRe2Tc at its relaxed geometry from Alexandria via LeMat-Bulk. Energies are from GGA-PBE.

Lattice parameters (Å, degrees): 3.795 2.707 6.034 63.37 90.00 90.00
Each line ends with the local moment (μB).
Fractional positions:
Tc: 0.500 0.250 0.250  -0.01
Re: 0.000 0.013 0.987  0.01
Re: 0.000 0.487 0.513  0.01
Co: 0.500 0.750 0.750  0.38

Computed properties:
Calculated formation energy   0.074 eV per atom
E above lowest polymorph   48 meV per atom
DOS(E_F)   3.996 states/eV per cell



[2]
Here is crystalline CeSm4Te6 at its relaxed geometry from Alexandria via LeMat-Bulk. Energies are from GGA-PBE.

Lattice parameters (Å, degrees): 4.382 7.597 22.640 90.00 90.00 106.76
Each line ends with the local moment (μB).
Fractional positions:
Sm: 0.143 0.287 0.037  0.00
Sm: 0.412 0.825 0.374  0.01
Sm: 0.857 0.713 0.963  0.00
Sm: 0.588 0.175 0.874  0.01
Sm: 0.857 0.713 0.537  0.00
Sm: 0.143 0.287 0.463  0.00
Sm: 0.412 0.825 0.126  0.01
Sm: 0.588 0.175 0.626  0.01
Te: 0.233 0.465 0.593  0.00
Te: 0.946 0.893 0.666  -0.01
Te: 0.054 0.107 0.166  -0.01
Te: 0.946 0.893 0.834  -0.01
Te: 0.233 0.465 0.907  0.00
Te: 0.317 0.635 0.250  -0.01
Te: 0.500 0.000 0.000  0.00
Te: 0.767 0.535 0.407  0.00
Te: 0.500 0.000 0.500  0.00
Te: 0.767 0.535 0.093  0.00
Te: 0.683 0.365 0.750  -0.01
Te: 0.054 0.107 0.334  -0.01
Ce: 0.657 0.314 0.250  1.05
Ce: 0.343 0.686 0.750  1.05

Computed properties:
DOS(E_F)   21.284 states/eV per cell
Uncorrected formation energy   -1.41 eV/atom



[3]
Here is crystalline NaSr2GePd at its relaxed geometry from Alexandria via LeMat-Bulk. Energies are from GGA-PBE.

Lattice parameters (Å, degrees): 6.000 6.000 4.784 90.00 90.00 90.00
Fractional positions:
Pd: 0.000 0.000 0.000
Ge: 0.000 0.000 0.500
Na: 0.500 0.500 0.500
Sr: 0.500 0.000 0.000
Sr: 0.000 0.500 0.000

Computed properties:
Calculated formation energy   -0.328 eV per atom
DOS(E_F)   4.892 states/eV per cell



[4]
Here is crystalline PmHIO2 at its relaxed geometry from Alexandria via LeMat-Bulk. Energies are from GGA-PBE.

Lattice parameters (Å, degrees): 3.760 5.525 10.176 88.62 90.00 90.00
Fractional positions:
I: 0.250 0.750 0.999
I: 0.750 0.250 0.001
Pm: 0.250 0.225 0.580
Pm: 0.750 0.775 0.420
H: 0.250 0.336 0.335
H: 0.750 0.664 0.665
O: 0.750 0.994 0.608
O: 0.250 0.490 0.383
O: 0.750 0.510 0.617
O: 0.250 0.006 0.392

Computed properties:
Final energy   -5.7982 eV/atom
DOS(E_F)   5.977 states/eV per cell



[5]
Here is crystalline Co2S3 at its relaxed geometry from Alexandria via LeMat-Bulk. Energies are from GGA-PBE.

Lattice parameters (Å, degrees): 3.315 5.860 7.975 103.71 90.00 90.00
Fractional positions:
S: 0.250 0.040 0.849
S: 0.750 0.515 0.845
S: 0.250 0.485 0.155
S: 0.250 0.210 0.504
S: 0.750 0.960 0.151
S: 0.750 0.790 0.496
Co: 0.250 0.854 0.329
Co: 0.250 0.728 0.978
Co: 0.750 0.272 0.022
Co: 0.750 0.146 0.671

Computed properties:
DOS(E_F)   4.645 states/eV per cell
Uncorrected formation energy   -0.37 eV/atom



[6]
Here is crystalline La2TeP at its relaxed geometry from Alexandria via LeMat-Bulk. Energies are from GGA-PBE.

Lattice parameters (Å, degrees): 8.041 8.041 6.969 54.77 54.77 90.00
Each line ends with the local moment (μB).
Fractional positions:
P: 0.250 0.750 0.500  -0.01
P: 0.500 0.500 0.000  -0.01
Te: 0.750 0.250 0.500  0.00
Te: 0.000 0.000 0.000  0.00
La: 0.589 0.125 0.250  0.15
La: 0.875 0.839 0.750  0.14
La: 0.161 0.625 0.250  0.15
La: 0.375 0.411 0.750  0.15

Computed properties:
E above lowest polymorph   454 meV per atom
DOS(E_F)   5.379 states/eV per cell
Uncorrected formation energy   -1.21 eV/atom



[7]
Here is crystalline MnRuN2 at its relaxed geometry from Alexandria via LeMat-Bulk. Energies are from GGA-PBE.

Lattice parameters (Å, degrees): 5.162 5.199 6.357 90.00 90.00 90.00
Fractional positions:
Ru: 0.497 0.436 0.655
Ru: 0.497 0.936 0.845
Ru: 0.997 0.564 0.345
Ru: 0.997 0.064 0.155
N: 0.848 0.917 0.413
N: 0.348 0.583 0.913
N: 0.348 0.083 0.587
N: 0.383 0.551 0.361
N: 0.883 0.449 0.639
N: 0.848 0.417 0.087
N: 0.883 0.949 0.861
N: 0.383 0.051 0.139
Mn: 0.994 0.618 0.883
Mn: 0.494 0.882 0.383
Mn: 0.994 0.118 0.617
Mn: 0.494 0.382 0.117

Computed properties:
E above lowest polymorph   117 meV per atom
DOS(E_F)   11.161 states/eV per cell
Uncorrected formation energy   0.09 eV/atom



[8]
Here is crystalline Ce4GeAu3 at its relaxed geometry from Alexandria via LeMat-Bulk. Energies are from GGA-PBE.

Lattice parameters (Å, degrees): 4.044 4.528 11.328 90.00 90.00 90.00
Each line ends with the local moment (μB).
Fractional positions:
Ge: 0.500 0.500 0.084  -0.03
Ce: 0.500 0.500 0.352  0.83
Ce: 0.000 0.000 0.139  0.77
Ce: 0.500 0.000 0.639  0.80
Ce: 0.000 0.500 0.865  0.82
Au: 0.000 0.000 0.416  0.01
Au: 0.500 0.000 0.917  0.00
Au: 0.000 0.500 0.588  0.01

Computed properties:
Calculated formation energy   -0.636 eV per atom
DOS(E_F)   23.373 states/eV per cell